First-principles (PBE) data for LaSm12In6 after structural relaxation, as listed in Alexandria.

Formation energy from the elements (eV per atom): -0.221
M_tot (μB/f.u.): 0.0
DOS at the Fermi energy (states/eV/cell): 57.4

a = 11.7056 Å, b = 11.7056 Å, c = 14.6903 Å
α = 90.00°, β = 90.00°, γ = 120.00°
Space group R-3 (No. 148, hexagonal axes)
Symmetry-distinct sites (fractional):
La 0.0000 0.0000 0.0000
Sm 0.0590 0.8416 0.4104
Sm 0.0729 0.1905 0.8041
In 0.0246 0.4328 0.7151



First-principles (PBE) data for LiPr3Hg2 after structural relaxation, as listed in Alexandria.

Formation energy from the elements (eV per atom): -0.294
M_tot (μB/f.u.): 0.9
DOS at the Fermi energy (states/eV/cell): 6.4
Relative energy among the computed polymorphs (eV/atom): 0.019

a = 3.904 Å, b = 3.904 Å, c = 11.285 Å
α = 90.00°, β = 90.00°, γ = 90.00°
Space group P4/mmm (No. 123)
Symmetry-distinct sites (fractional):
Li 0.000 0.000 0.000
Pr 0.500 0.500 0.169
Pr 0.500 0.500 0.500
Hg 0.000 0.000 0.326



First-principles (PBE) data for AlBO3 after structural relaxation, as listed in Alexandria.

M_tot (μB/f.u.): 0.0
DOS at the Fermi energy (states/eV/cell): 0.3
Uncorrected formation energy (kJ per mole of atoms): -106.9

a = 3.277 Å, b = 3.277 Å, c = 3.277 Å
α = 90.00°, β = 90.00°, γ = 90.00°
Space group Pm-3m (No. 221)
Symmetry-distinct sites (fractional):
Al 0.000 0.000 0.000
B 0.500 0.500 0.500
O 0.000 0.500 0.500



First-principles (PBE) data for KBa3Ti after structural relaxation, as listed in Alexandria.

Formation energy from the elements (eV per atom): 0.531
M_tot (μB/f.u.): 3.1
DOS at the Fermi energy (states/eV/cell): 8.6
Relative energy among the computed polymorphs (eV/atom): 0.000

a = 6.720 Å, b = 6.720 Å, c = 6.720 Å
α = 90.00°, β = 90.00°, γ = 90.00°
Space group Pm-3m (No. 221)
Symmetry-distinct sites (fractional):
K 0.000 0.000 0.000
Ba 0.000 0.500 0.500
Ti 0.500 0.500 0.500



First-principles (PBE) data for Hf5Nb3As12 after structural relaxation, as listed in Alexandria.

Formation energy from the elements (eV per atom): -0.142
M_tot (μB/f.u.): 2.4
DOS at the Fermi energy (states/eV/cell): 139.5

a = 15.539 Å, b = 15.539 Å, c = 15.539 Å
α = 90.00°, β = 90.00°, γ = 90.00°
Space group Ia-3d (No. 230)
Symmetry-distinct sites (fractional):
Hf 0.000 0.000 0.000
Hf 0.000 0.250 0.375
Nb 0.000 0.250 0.125
As 0.021 0.083 0.655



First-principles (PBE) data for Mg5Si6 after structural relaxation, as listed in Alexandria.

M_tot (μB/f.u.): 0.0
DOS at the Fermi energy (states/eV/cell): 7.7
Relative energy among the computed polymorphs (eV/atom): 0.045
Uncorrected formation energy (kJ per mole of atoms): 6.7

a = 32.378 Å, b = 4.136 Å, c = 6.088 Å
α = 90.00°, β = 99.74°, γ = 90.00°
Space group Cm (No. 8)
Symmetry-distinct sites (fractional):
Mg 0.000 0.000 0.000
Mg 0.016 0.000 0.513
Mg 0.131 0.500 0.148
Mg 0.187 0.000 0.413
Mg 0.228 0.500 0.119
Mg 0.268 0.000 0.861
Mg 0.287 0.000 0.378
Mg 0.400 0.500 0.997
Mg 0.421 0.500 0.536
Mg 0.459 0.000 0.246
Si 0.052 0.500 0.259
Si 0.055 0.500 0.853
Si 0.094 0.000 0.789
Si 0.095 0.000 0.392
Si 0.173 0.000 0.935
Si 0.177 0.500 0.712
Si 0.243 0.500 0.563
Si 0.321 0.500 0.121
Si 0.321 0.500 0.718
Si 0.364 0.000 0.663
Si 0.367 0.000 0.262
Si 0.477 0.000 0.719



| no. | ρ (g/cm3) |
| --- | --- |
| 1 | 7.52 |
| 2 | 8.02 |
| 3 | 4.05 |
| 4 | 2.73 |
| 5 | 7.33 |
| 6 | 2.40 |